Computed, not measured: PmDy2Tm9 after structural relaxation at the PBE level of DFT.

The structure belongs to space group P4/mmm (No. 123); the cell edges are 4.963, 4.963 and 14.888 Å and the angles 90.00°, 90.00° and 90.00°. The asymmetric unit holds Pm at (0.000, 0.000, 0.000), Dy at (0.000, 0.000, 0.334), Tm at (0.000, 0.500, 0.168), Tm at (0.000, 0.500, 0.500), Tm at (0.500, 0.500, 0.000) and Tm at (0.500, 0.500, 0.334).

The total magnetic moment comes out at 0.00 μB per atom. The value obtained for the excess energy over the best structure of this formula in the dataset is 0.000 eV per atom. Its energy relative to the elements is 0.0264 eV/atom. The value obtained for the energy is -4.490 eV per atom.